Entry 1:
DFT (PBE) results for crystalline Tm5Pt4 at its relaxed geometry.

Values from the calculation:
* DFT formation energy: -1220 meV/atom

Cell and atoms, written as POSCAR:
```
Tm5Pt4
1.0
7.3882 0.0000 0.0000
0.0000 14.4456 0.0000
0.0000 0.0000 7.4641
Tm Pt
20 16
Direct
0.0100 0.0926 0.1785
0.0100 0.4074 0.1785
0.1447 0.6231 0.3337
0.1447 0.8769 0.3337
0.1939 0.2500 0.4897
0.3061 0.7500 0.9897
0.3553 0.1231 0.8337
0.3553 0.3769 0.8337
0.4900 0.5926 0.6785
0.4900 0.9074 0.6785
0.5100 0.0926 0.3215
0.5100 0.4074 0.3215
0.6447 0.6231 0.1663
0.6447 0.8769 0.1663
0.6939 0.2500 0.0103
0.8061 0.7500 0.5103
0.8553 0.1231 0.6663
0.8553 0.3769 0.6663
0.9900 0.5926 0.8215
0.9900 0.9074 0.8215
0.0588 0.2500 0.8883
0.1662 0.7500 0.6446
0.1918 0.0409 0.5330
0.1918 0.4591 0.5330
0.3082 0.5409 0.0330
0.3082 0.9591 0.0330
0.3338 0.2500 0.1446
0.4412 0.7500 0.3883
0.5588 0.2500 0.6117
0.6662 0.7500 0.8554
0.6918 0.0409 0.9670
0.6918 0.4591 0.9670
0.8082 0.5409 0.4670
0.8082 0.9591 0.4670
0.8338 0.2500 0.3554
0.9412 0.7500 0.1117
```

***

Entry 2:
DFT (PBE) results for crystalline DyGeB at its relaxed geometry.

Values from the calculation:
* ΔE to the lowest computed polymorph: 165.4 meV/atom

Cell and atoms, written as POSCAR:
```
DyGeB
1.0
0.0000 2.9720 2.9720
2.9720 0.0000 2.9720
2.9720 2.9720 0.0000
Dy Ge B
1 1 1
Direct
0.0000 0.0000 0.0000
0.5000 0.5000 0.5000
0.2500 0.2500 0.2500
```

***

Entry 3:
DFT (PBE) results for crystalline NdGdB2As2Ir2 at its relaxed geometry.

Values from the calculation:
* total DFT energy (no corrections): -7.0765 eV/atom

Cell and atoms, written as POSCAR:
```
NdGdB2As2Ir2
1.0
4.0198 0.0000 0.0000
0.0000 4.0198 0.0000
0.0000 0.0000 8.6776
Nd Gd B As Ir
1 1 2 2 2
Direct
0.0000 0.0000 0.0000
0.5000 0.5000 0.5846
0.0000 0.0000 0.3945
0.5000 0.5000 0.1868
0.0000 0.0000 0.6419
0.5000 0.5000 0.9349
0.0000 0.5000 0.2928
0.5000 0.0000 0.2928
```

***

Entry 4:
DFT (PBE) results for crystalline SmTeNO at its relaxed geometry.

Values from the calculation:
* ΔE to the lowest computed polymorph: 446.2 meV/atom

Cell and atoms, written as POSCAR:
```
SmTeNO
1.0
3.7525 0.0000 0.0000
0.0000 6.7714 0.0000
0.0000 0.0000 6.5404
Sm Te N O
2 2 2 2
Direct
0.0000 0.1930 0.0000
0.0000 0.8070 0.5000
0.5000 0.2188 0.5004
0.5000 0.7812 0.0004
0.0000 0.1274 0.3543
0.0000 0.8726 0.8543
0.5000 0.3091 0.8641
0.5000 0.6909 0.3641
```

***

Entry 5:
DFT (PBE) results for crystalline MgZnSiPt at its relaxed geometry.

Values from the calculation:
* ΔE to the lowest computed polymorph: 6.7 meV/atom

Cell and atoms, written as POSCAR:
```
MgZnSiPt
1.0
0.0000 3.1231 3.1231
3.1231 0.0000 3.1231
3.1231 3.1231 0.0000
Mg Zn Si Pt
1 1 1 1
Direct
0.0000 0.0000 0.0000
0.7500 0.7500 0.7500
0.2500 0.2500 0.2500
0.5000 0.5000 0.5000
```

***

Entry 6:
DFT (PBE) results for crystalline Nb2PC at its relaxed geometry.

Values from the calculation:
* total DFT energy (no corrections): -9.4605 eV/atom

Cell and atoms, written as POSCAR:
```
Nb2PC
1.0
2.8601 1.6513 11.6717
-2.8601 1.6513 11.6717
0.0000 -3.3026 11.6717
Nb P C
12 6 6
Direct
0.0328 0.3665 0.7007
0.1335 0.4672 0.7993
0.2007 0.8665 0.5328
0.2993 0.9672 0.6335
0.3665 0.7007 0.0328
0.4672 0.7993 0.1335
0.5328 0.2007 0.8665
0.6335 0.2993 0.9672
0.7007 0.0328 0.3665
0.7993 0.1335 0.4672
0.8665 0.5328 0.2007
0.9672 0.6335 0.2993
0.0837 0.7500 0.4163
0.2500 0.5837 0.9163
0.4163 0.0837 0.7500
0.5837 0.9163 0.2500
0.7500 0.4163 0.0837
0.9163 0.2500 0.5837
0.0000 0.0000 0.0000
0.1667 0.1667 0.1667
0.3333 0.3333 0.3333
0.5000 0.5000 0.5000
0.6667 0.6667 0.6667
0.8333 0.8333 0.8333
```